Entry 1:
## Ho2NbGa2Ru5 (PBE)

Data for an optimized crystal structure of Ho2NbGa2Ru5.

Calculated values
Space group   No. 127

Unit cell a=3.3513 b=10.0810 c=10.0810 alpha=90.00 beta=90.00 gamma=90.00
Element x y z (fractional)
Ga 0.0000 0.8724 0.3724
Ga 0.0000 0.3724 0.1276
Ga 0.0000 0.6276 0.8724
Ga 0.0000 0.1276 0.6276
Ru 0.5000 0.3019 0.5669
Ru 0.5000 0.0000 0.5000
Ru 0.5000 0.1981 0.0669
Ru 0.5000 0.6981 0.4331
Ru 0.5000 0.8019 0.9331
Ru 0.5000 0.0669 0.8019
Ru 0.5000 0.9331 0.1981
Ru 0.5000 0.4331 0.3019
Ru 0.5000 0.5669 0.6981
Ru 0.5000 0.5000 0.0000
Ho 0.0000 0.6711 0.1711
Ho 0.0000 0.3289 0.8289
Ho 0.0000 0.8289 0.6711
Ho 0.0000 0.1711 0.3289
Nb 0.0000 0.0000 0.0000
Nb 0.0000 0.5000 0.5000



Entry 2:
## NdHo3Ga4 (PBE)

Data for an optimized crystal structure of NdHo3Ga4.

Calculated values
Space group   No. 123
Distance to the lowest polymorph of the same formula   0 meV/atom

Unit cell a=5.0789 b=7.1792 c=10.1584 alpha=90.00 beta=90.00 gamma=90.00
Element x y z (fractional)
Ga 0.5000 0.7584 0.0000
Ga 0.5000 0.7584 0.5000
Ga 0.5000 0.2416 0.5000
Ga 0.0004 0.2415 0.2500
Ga 0.0004 0.7585 0.2500
Ga 0.5000 0.2416 0.0000
Ga 0.9996 0.2415 0.7500
Ga 0.9996 0.7585 0.7500
Ho 0.0000 0.0000 0.5000
Ho 0.4997 0.5000 0.7500
Ho 0.0000 0.0000 0.0000
Ho 0.4998 0.0000 0.7500
Ho 0.5002 0.0000 0.2500
Ho 0.5003 0.5000 0.2500
Nd 0.0000 0.5000 0.0000
Nd 0.0000 0.5000 0.5000



Entry 3:
## NdHo2Ga3 (PBE)

Data for an optimized crystal structure of NdHo2Ga3.

Calculated values
Space group   No. 74

Unit cell a=6.0722 b=9.5824 c=7.7598 alpha=128.13 beta=113.03 gamma=90.00
Element x y z (fractional)
Ga 0.0000 0.0000 0.5000
Ga 0.5000 0.2501 0.0000
Ga 0.0000 0.7501 0.0000
Ga 0.0000 0.5000 0.5000
Ga 0.5000 0.7499 0.0000
Ga 0.0000 0.2499 0.0000
Nd 0.4993 0.2500 0.5000
Nd 0.5007 0.7500 0.5000
Ho 0.1663 0.9161 0.8321
Ho 0.8342 0.5839 0.1679
Ho 0.8337 0.0839 0.1679
Ho 0.1658 0.4161 0.8321



It is found that the energy of formation values, taken in the order of the records, are -369; -440; -190 kJ/mol of formula units.